(1)
# Pm8Bi2Te3

A geometry-optimized Pm8Bi2Te3 structure (GGA-PBE, Alexandria).

Cell and atoms, written as CIF:
```
data_Pm8Bi2Te3
_symmetry_space_group_name_H-M 'C 1 2/m 1'
_symmetry_Int_Tables_number 12
_cell_length_a 15.012
_cell_length_b 8.651
_cell_length_c 7.196
_cell_angle_alpha 90.00
_cell_angle_beta 99.21
_cell_angle_gamma 90.00
loop_
_symmetry_equiv_pos_as_xyz
'x,y,z'
'-x,-y,-z'
'-x,y,-z'
'x,-y,z'
'x+1/2,y+1/2,z'
'-x+1/2,-y+1/2,-z'
'-x+1/2,y+1/2,-z'
'x+1/2,-y+1/2,z'
loop_
_atom_site_label
_atom_site_fract_x
_atom_site_fract_y
_atom_site_fract_z
Pm1 0.095 0.000 0.377
Pm2 0.114 0.216 0.880
Pm3 0.150 0.500 0.370
Bi1 0.244 0.500 0.848
Te1 0.000 0.290 0.500
Te2 0.000 0.500 0.000
```

## Properties
Total moment   0.00 μB per cell
ΔE_f (raw)   -0.704 eV/atom
DOS(E_F)   13.69 states/eV/f.u.

---

(2)
# Pm3BiTe2

A geometry-optimized Pm3BiTe2 structure (GGA-PBE, Alexandria).

Cell and atoms, written as CIF:
```
data_Pm3BiTe2
_symmetry_space_group_name_H-M 'C 1 2/c 1'
_symmetry_Int_Tables_number 15
_cell_length_a 7.799
_cell_length_b 13.473
_cell_length_c 7.826
_cell_angle_alpha 90.00
_cell_angle_beta 109.38
_cell_angle_gamma 90.00
loop_
_symmetry_equiv_pos_as_xyz
'x,y,z'
'-x,-y,-z'
'-x,y,-z+1/2'
'x,-y,z+1/2'
'x+1/2,y+1/2,z'
'-x+1/2,-y+1/2,-z'
'-x+1/2,y+1/2,-z+1/2'
'x+1/2,-y+1/2,z+1/2'
loop_
_atom_site_label
_atom_site_fract_x
_atom_site_fract_y
_atom_site_fract_z
Pm1 0.249 0.084 0.499
Pm2 0.250 0.250 0.000
Bi1 0.000 0.417 0.750
Te1 0.000 0.083 0.750
Te2 0.000 0.251 0.250
```

## Properties
Total moment   0.00 μB per cell
ΔE_f (raw)   -1.267 eV/atom
DOS(E_F)   3.28 states/eV/f.u.

---

(3)
# PmBiTe

A geometry-optimized PmBiTe structure (GGA-PBE, Alexandria).

Cell and atoms, written as CIF:
```
data_PmBiTe
_symmetry_space_group_name_H-M 'P 3 m 1'
_symmetry_Int_Tables_number 156
_cell_length_a 5.3548
_cell_length_b 5.3548
_cell_length_c 3.9357
_cell_angle_alpha 90.00
_cell_angle_beta 90.00
_cell_angle_gamma 120.00
loop_
_symmetry_equiv_pos_as_xyz
'x,y,z'
'-y,x-y,z'
'-x+y,-x,z'
'-y,-x,z'
'-x+y,y,z'
'x,x-y,z'
loop_
_atom_site_label
_atom_site_fract_x
_atom_site_fract_y
_atom_site_fract_z
Pm1 0.0000 0.0000 0.0000
Bi1 0.3333 0.6667 0.9948
Te1 0.6667 0.3333 0.4979
```

## Properties
Total moment   0.00 μB per cell
ΔE_f (raw)   -0.373 eV/atom
DOS(E_F)   3.01 states/eV/f.u.

---

(4)
# Pm5Bi2Te4

A geometry-optimized Pm5Bi2Te4 structure (GGA-PBE, Alexandria).

Cell and atoms, written as CIF:
```
data_Pm5Bi2Te4
_symmetry_space_group_name_H-M 'R -3 m'
_symmetry_Int_Tables_number 166
_symmetry_space_group_name_Hall '-R 3 2"'
_cell_length_a 4.6328
_cell_length_b 4.6328
_cell_length_c 70.5811
_cell_angle_alpha 90.00
_cell_angle_beta 90.00
_cell_angle_gamma 120.00
loop_
_atom_site_label
_atom_site_fract_x
_atom_site_fract_y
_atom_site_fract_z
Pm1 0.0000 0.0000 0.0000
Pm2 0.0000 0.0000 0.1194
Pm3 0.0000 0.0000 0.2818
Bi1 0.0000 0.0000 0.3595
Te1 0.0000 0.0000 0.0767
Te2 0.0000 0.0000 0.1938
```

## Properties
Total moment   1.55 μB per cell
ΔE_f (raw)   -1.091 eV/atom
DOS(E_F)   4.59 states/eV/f.u.

---

(5)
# Pm5BiTe5

A geometry-optimized Pm5BiTe5 structure (GGA-PBE, Alexandria).

Cell and atoms, written as CIF:
```
data_Pm5BiTe5
_symmetry_space_group_name_H-M 'C 1 2/m 1'
_symmetry_Int_Tables_number 12
_cell_length_a 14.092
_cell_length_b 6.354
_cell_length_c 8.932
_cell_angle_alpha 90.00
_cell_angle_beta 108.32
_cell_angle_gamma 90.00
loop_
_symmetry_equiv_pos_as_xyz
'x,y,z'
'-x,-y,-z'
'-x,y,-z'
'x,-y,z'
'x+1/2,y+1/2,z'
'-x+1/2,-y+1/2,-z'
'-x+1/2,y+1/2,-z'
'x+1/2,-y+1/2,z'
loop_
_atom_site_label
_atom_site_fract_x
_atom_site_fract_y
_atom_site_fract_z
Pm1 0.000 0.000 0.000
Pm2 0.166 0.500 0.336
Pm3 0.166 0.500 0.828
Bi1 0.000 0.500 0.000
Te1 0.000 0.500 0.500
Te2 0.162 0.000 0.337
Te3 0.166 0.000 0.830
```

## Properties
Total moment   0.00 μB per cell
ΔE_f (raw)   -1.366 eV/atom
DOS(E_F)   4.19 states/eV/f.u.

---

(6)
# Pm6BiTe12

A geometry-optimized Pm6BiTe12 structure (GGA-PBE, Alexandria).

Cell and atoms, written as CIF:
```
data_Pm6BiTe12
_symmetry_space_group_name_H-M 'R -3'
_symmetry_Int_Tables_number 148
_symmetry_space_group_name_Hall '-R 3'
_cell_length_a 13.8175
_cell_length_b 13.8175
_cell_length_c 12.7219
_cell_angle_alpha 90.00
_cell_angle_beta 90.00
_cell_angle_gamma 120.00
loop_
_atom_site_label
_atom_site_fract_x
_atom_site_fract_y
_atom_site_fract_z
Pm1 0.0425 0.7725 0.1328
Bi1 0.0000 0.0000 0.5000
Te1 0.0322 0.8204 0.8895
Te2 0.0743 0.8519 0.3818
```

## Properties
Total moment   0.00 μB per cell
ΔE_f (raw)   -1.075 eV/atom
DOS(E_F)   15.56 states/eV/f.u.

---

(7)
# Pm3Bi2Te

A geometry-optimized Pm3Bi2Te structure (GGA-PBE, Alexandria).

Cell and atoms, written as CIF:
```
data_Pm3Bi2Te
_symmetry_space_group_name_H-M 'C 1 2/m 1'
_symmetry_Int_Tables_number 12
_cell_length_a 7.880
_cell_length_b 13.646
_cell_length_c 7.857
_cell_angle_alpha 90.00
_cell_angle_beta 109.49
_cell_angle_gamma 90.00
loop_
_symmetry_equiv_pos_as_xyz
'x,y,z'
'-x,-y,-z'
'-x,y,-z'
'x,-y,z'
'x+1/2,y+1/2,z'
'-x+1/2,-y+1/2,-z'
'-x+1/2,y+1/2,-z'
'x+1/2,-y+1/2,z'
loop_
_atom_site_label
_atom_site_fract_x
_atom_site_fract_y
_atom_site_fract_z
Pm1 0.249 0.000 0.249
Pm2 0.250 0.166 0.752
Bi1 0.000 0.000 0.500
Bi2 0.000 0.167 0.000
Bi3 0.000 0.500 0.000
Te1 0.000 0.333 0.500
```

## Properties
Total moment   0.00 μB per cell
ΔE_f (raw)   -1.121 eV/atom
DOS(E_F)   1.64 states/eV/f.u.

---

(8)
# Pm8BiTe6

A geometry-optimized Pm8BiTe6 structure (GGA-PBE, Alexandria).

Cell and atoms, written as CIF:
```
data_Pm8BiTe6
_symmetry_space_group_name_H-M 'P -3'
_symmetry_Int_Tables_number 147
_cell_length_a 11.2711
_cell_length_b 11.2711
_cell_length_c 4.4591
_cell_angle_alpha 90.00
_cell_angle_beta 90.00
_cell_angle_gamma 120.00
loop_
_symmetry_equiv_pos_as_xyz
'x,y,z'
'-x,-y,-z'
'-y,x-y,z'
'y,-x+y,-z'
'-x+y,-x,z'
'x-y,x,-z'
loop_
_atom_site_label
_atom_site_fract_x
_atom_site_fract_y
_atom_site_fract_z
Pm1 0.0336 0.3082 0.2428
Pm2 0.3333 0.6667 0.7537
Bi1 0.0000 0.0000 0.0000
Te1 0.1257 0.6459 0.2524
```

## Properties
Total moment   0.00 μB per cell
ΔE_f (raw)   -1.034 eV/atom
DOS(E_F)   9.96 states/eV/f.u.